Record 1
This record from Alexandria via LeMat-Bulk describes crystalline NiIr6Os2 at its relaxed geometry. The functional is PBE-GGA.

```
9
Lattice="5.9035 -1.3645 0.0000 5.9035 1.3645 0.0000 -1.8548 0.0000 7.9232" Properties=species:S:1:pos:R:3 pbc="T T T"
Ni 0.0000 0.0000 0.0000
Ir -0.5850 0.0000 2.6066
Ir 3.0788 0.0000 3.4962
Ir 3.7443 0.0000 0.8461
Ir 6.2080 0.0000 7.0771
Ir 6.8735 0.0000 4.4270
Ir 10.5372 0.0000 5.3166
Os 2.4783 0.0000 6.1825
Os 7.4739 0.0000 1.7407
```

Its density of states at the Fermi level is 8.52 states/eV/f.u. The formation energy is 25 meV/atom.

---

Record 2
This record from Alexandria via LeMat-Bulk describes crystalline NaThSn2 at its relaxed geometry. The functional is PBE-GGA.

```
4
Lattice="4.9492 0.0000 0.0000 0.0000 4.9492 0.0000 0.0000 0.0000 4.4663" Properties=species:S:1:pos:R:3 pbc="T T T"
Na 0.0000 0.0000 0.0000
Th 2.4746 2.4746 0.0000
Sn 0.0000 2.4746 2.2332
Sn 2.4746 0.0000 2.2332
```

Its density of states at the Fermi level is 2.66 states/eV/f.u. The formation energy is -347 meV/atom.

---

Record 3
This record from Alexandria via LeMat-Bulk describes crystalline Sm4TmSc5 at its relaxed geometry. The functional is PBE-GGA.

```
10
Lattice="-5.1364 5.1364 2.8147 5.1364 -5.1364 2.8147 5.1364 5.1364 -2.8147" Properties=species:S:1:pos:R:3 pbc="T T T"
Sm 3.2879 0.0000 0.0000
Sm 6.9850 0.0000 0.0000
Sm 0.0000 3.2879 0.0000
Sm 0.0000 6.9850 0.0000
Tm 0.0000 0.0000 4.1984
Sc 0.0000 0.0000 1.3012
Sc 3.1924 3.1924 -0.1339
Sc 1.9440 -1.9440 2.6808
Sc -1.9440 1.9440 2.6808
Sc 1.9440 1.9440 2.6808
```

Its density of states at the Fermi level is 13.99 states/eV/f.u. The formation energy is 230 meV/atom.

---

Record 4
This record from Alexandria via LeMat-Bulk describes crystalline ErMgCoAg at its relaxed geometry. The functional is PBE-GGA.

```
16
Lattice="6.6820 0.0000 0.0000 0.0000 6.6820 0.0000 0.0000 0.0000 6.6820" Properties=species:S:1:pos:R:3 pbc="T T T"
Er 0.0000 0.0000 0.0000
Er 0.0000 3.3410 3.3410
Er 3.3410 0.0000 3.3410
Er 3.3410 3.3410 0.0000
Mg 0.0000 0.0000 3.3410
Mg 0.0000 3.3410 0.0000
Mg 3.3410 0.0000 0.0000
Mg 3.3410 3.3410 3.3410
Co 1.6705 1.6705 5.0115
Co 1.6705 5.0115 1.6705
Co 5.0115 1.6705 1.6705
Co 5.0115 5.0115 5.0115
Ag 1.6705 1.6705 1.6705
Ag 1.6705 5.0115 5.0115
Ag 5.0115 1.6705 5.0115
Ag 5.0115 5.0115 1.6705
```

Its density of states at the Fermi level is 3.13 states/eV/f.u. The formation energy is -80 meV/atom.

---

Record 5
This record from Alexandria via LeMat-Bulk describes crystalline GaFe2Te at its relaxed geometry. The functional is PBE-GGA.

```
16
Lattice="4.0902 0.0000 0.0000 0.0000 4.0902 0.0000 0.0000 0.0000 17.1357" Properties=species:S:1:pos:R:3 pbc="T T T"
Ga 0.0000 0.0000 0.0000
Ga 0.0000 2.0451 4.2839
Ga 2.0451 0.0000 12.8518
Ga 2.0451 2.0451 8.5679
Fe 0.7666 1.0226 2.1420
Fe 1.0226 2.8117 6.4259
Fe 1.0226 3.3236 14.9938
Fe 1.2785 1.0226 10.7098
Fe 2.8117 3.0677 10.7098
Fe 3.0677 0.7666 14.9938
Fe 3.0677 1.2785 6.4259
Fe 3.3236 3.0677 2.1420
Te 0.0000 0.0000 8.5679
Te 0.0000 2.0451 12.8518
Te 2.0451 0.0000 4.2839
Te 2.0451 2.0451 0.0000
```

Its density of states at the Fermi level is 3.05 states/eV/f.u. For the uncorrected formation energy, the calculation gives 1.5 eV/f.u.

---

Record 6
This record from Alexandria via LeMat-Bulk describes crystalline Hf8Zn2Ga at its relaxed geometry. The functional is PBE-GGA.

```
11
Lattice="3.9101 -6.4823 0.0000 3.9101 6.4823 0.0000 -1.7935 0.0000 4.5234" Properties=species:S:1:pos:R:3 pbc="T T T"
Hf 0.4981 1.5037 2.7691
Hf 3.9101 3.6171 0.0000
Hf 0.4981 -1.5037 2.7691
Hf 2.7587 0.0000 0.9071
Hf 3.2681 0.0000 3.6163
Hf 5.5287 1.5037 1.7544
Hf 3.9101 -3.6171 0.0000
Hf 5.5287 -1.5037 1.7544
Zn 3.0134 2.4984 2.2617
Zn 3.0134 -2.4984 2.2617
Ga 0.0000 0.0000 0.0000
```

Its density of states at the Fermi level is 10.58 states/eV/f.u. The formation energy is 40 meV/atom.